P | # Ba2RhF

A relaxed structure of Ba2RhF (GGA-PBE, Alexandria).

Cell lengths 6.2835, 6.2835, 8.2284 Å; angles 67.55, 67.55, 90.00 degrees
Last column: nearest neighbours and their distance in Å.
Positions (direct):
Rh 0.0000 0.0000 0.0000  4 Ba 2.92
Rh 0.7500 0.2500 0.5000  4 Ba 2.92
Ba 0.5970 0.1250 0.2500  2 F 2.72, 2 Rh 2.92
Ba 0.1530 0.6250 0.2500  2 F 2.72, 2 Rh 2.92
Ba 0.3750 0.4030 0.7500  2 F 2.72, 2 Rh 2.92
Ba 0.8750 0.8470 0.7500  2 F 2.72, 2 Rh 2.92
F 0.5000 0.5000 0.0000  4 Ba 2.72
F 0.2500 0.7500 0.5000  4 Ba 2.72


Q | # Ba2RhF

A relaxed structure of Ba2RhF (GGA-PBE, Alexandria).

Cell lengths 4.3899, 4.3899, 7.4373 Å; angles 72.83, 72.83, 60.00 degrees
Last column: nearest neighbours and their distance in Å.
Positions (direct):
Rh 0.0000 0.0000 0.0000  6 Ba 3.09
Ba 0.2488 0.2488 0.2535  3 F 3.06, 3 Rh 3.09
Ba 0.7512 0.7512 0.7465  3 F 3.06, 3 Rh 3.09
F 0.5000 0.5000 0.5000  6 Ba 3.06


R | # Ba2RhF

A relaxed structure of Ba2RhF (GGA-PBE, Alexandria).

Cell lengths 5.2866, 5.2866, 5.2866 Å; angles 60.00, 60.00, 60.00 degrees
Last column: nearest neighbours and their distance in Å.
Positions (direct):
Rh 0.5000 0.5000 0.5000  8 Ba 3.24
Ba 0.2500 0.2500 0.2500  4 Rh 3.24, 4 F 3.24
Ba 0.7500 0.7500 0.7500  4 Rh 3.24, 4 F 3.24
F 0.0000 0.0000 0.0000  8 Ba 3.24


Stability check: which of them is least stable? R.


P | # BaRuF2

A relaxed structure of BaRuF2 (GGA-PBE, Alexandria).

Cell lengths 4.6499, 4.6499, 4.6499 Å; angles 60.00, 60.00, 60.00 degrees
Last column: nearest neighbours and their distance in Å.
Positions (direct):
Ru 0.0000 0.0000 0.0000  8 F 2.85
Ba 0.5000 0.5000 0.5000  8 F 2.85
F 0.2500 0.2500 0.2500  4 Ba 2.85, 4 Ru 2.85
F 0.7500 0.7500 0.7500  4 Ba 2.85, 4 Ru 2.85


Q | # BaRuF2

A relaxed structure of BaRuF2 (GGA-PBE, Alexandria).

Cell lengths 4.6305, 4.6305, 8.2371 Å; angles 73.68, 73.68, 90.00 degrees
Last column: nearest neighbours and their distance in Å.
Positions (direct):
Ru 0.5000 0.5000 0.0000  4 F 2.36
Ru 0.2500 0.7500 0.5000  4 F 2.36
Ba 0.0000 0.0000 0.0000  4 F 2.68
Ba 0.7500 0.2500 0.5000  4 F 2.68
F 0.5504 0.1250 0.2500  2 Ru 2.36
F 0.1996 0.6250 0.2500  2 Ru 2.36
F 0.3750 0.4496 0.7500  2 Ru 2.36
F 0.8750 0.8004 0.7500  2 Ru 2.36


Stability check: which of them is least stable? P.


P | # BaRuF3

A relaxed structure of BaRuF3 (GGA-PBE, Alexandria).

Cell lengths 5.0562, 5.0562, 5.0562 Å; angles 90.00, 90.00, 90.00 degrees
Last column: nearest neighbours and their distance in Å.
Positions (direct):
Ru 0.5000 0.5000 0.5000  12 F 3.58
Ba 0.0000 0.0000 0.0000  6 F 2.53
F 0.0000 0.5000 0.0000  2 Ba 2.53
F 0.0000 0.0000 0.5000  2 Ba 2.53
F 0.5000 0.0000 0.0000  2 Ba 2.53


Q | # BaRuF3

A relaxed structure of BaRuF3 (GGA-PBE, Alexandria).

Cell lengths 4.3983, 4.3983, 4.3983 Å; angles 90.00, 90.00, 90.00 degrees
Last column: nearest neighbours and their distance in Å.
Positions (direct):
Ru 0.0000 0.0000 0.0000  6 F 2.20
Ba 0.5000 0.5000 0.5000  12 F 3.11
F 0.0000 0.5000 0.0000  2 Ru 2.20
F 0.0000 0.0000 0.5000  2 Ru 2.20
F 0.5000 0.0000 0.0000  2 Ru 2.20


Stability check: which of them is least stable? P.


P | # BaS3F

A relaxed structure of BaS3F (GGA-PBE, Alexandria).

Cell lengths 6.1391, 6.1391, 6.1391 Å; angles 90.00, 90.00, 90.00 degrees
Last column: nearest neighbours and their distance in Å.
Positions (direct):
S 0.0000 0.5000 0.0000  2 Ba 3.07
S 0.0000 0.0000 0.5000  2 Ba 3.07
S 0.5000 0.0000 0.0000  2 Ba 3.07
Ba 0.0000 0.0000 0.0000  6 S 3.07
F 0.5000 0.5000 0.5000  12 S 4.34


Q | # BaS3F

A relaxed structure of BaS3F (GGA-PBE, Alexandria).

Cell lengths 4.6819, 4.6819, 4.6819 Å; angles 90.00, 90.00, 90.00 degrees
Last column: nearest neighbours and their distance in Å.
Positions (direct):
S 0.0000 0.5000 0.0000  2 F 2.34
S 0.0000 0.0000 0.5000  2 F 2.34
S 0.5000 0.0000 0.0000  2 F 2.34
Ba 0.5000 0.5000 0.5000  12 S 3.31
F 0.0000 0.0000 0.0000  6 S 2.34


Stability check: which of them is least stable? P.